# 1
Material: SrHf3Ag
Method: DFT, PBEsol
State: relaxed

Cell: 5.1786 5.1786 5.1786 Å, 90.00 90.00 90.00°
Closest atoms and distances in Å follow each position.
Space group Pm-3m (No. 221)
One atom of each set of equivalent atoms:
Sr 0.0000 0.0000 0.0000 [1 per cell]  12 Hf 3.66
Hf 0.0000 0.5000 0.5000 [3 per cell]  2 Ag 2.59
Ag 0.5000 0.5000 0.5000 [1 per cell]  6 Hf 2.59

- DFT formation energy (eV/atom) = 0.9424
- crystal system = cubic


# 2
Material: SrHfAg3
Method: DFT, PBEsol
State: relaxed

Cell: 5.1413 5.1413 5.1413 Å, 90.00 90.00 90.00°
Closest atoms and distances in Å follow each position.
Space group Pm-3m (No. 221)
One atom of each set of equivalent atoms:
Sr 0.0000 0.0000 0.0000 [1 per cell]  6 Ag 2.57
Hf 0.5000 0.5000 0.5000 [1 per cell]  12 Ag 3.64
Ag 0.0000 0.0000 0.5000 [3 per cell]  2 Sr 2.57

- DFT formation energy (eV/atom) = 1.4294
- crystal system = cubic


# 3
Material: SrYHf2Ag
Method: DFT, PBEsol
State: relaxed

Cell: 5.2121 5.2121 5.5232 Å, 90.00 90.00 90.00°
Closest atoms and distances in Å follow each position.
Space group P4/mmm (No. 123)
One atom of each set of equivalent atoms:
Sr 0.0000 0.0000 0.0000 [1 per cell]  2 Ag 2.76
Y 0.5000 0.5000 0.0000 [1 per cell]  4 Sr 3.69, 8 Hf 3.80
Hf 0.0000 0.5000 0.5000 [2 per cell]  2 Ag 2.61
Ag 0.0000 0.0000 0.5000 [1 per cell]  4 Hf 2.61, 2 Sr 2.76

- DFT formation energy (eV/atom) = 0.8175
- crystal system = tetragonal


# 4
Material: HfTlAg2
Method: DFT, PBEsol
State: relaxed

Cell: 6.7101 6.7101 6.7101 Å, 90.00 90.00 90.00°
Closest atoms and distances in Å follow each position.
Space group Fm-3m (No. 225)
One atom of each set of equivalent atoms:
Hf 0.0000 0.0000 0.0000 [4 per cell]  8 Ag 2.91
Tl 0.0000 0.0000 0.5000 [4 per cell]  8 Ag 2.91
Ag 0.2500 0.2500 0.2500 [8 per cell]  4 Hf 2.91, 4 Tl 2.91

- DFT formation energy (eV/atom) = 0.0973
- crystal system = cubic


# 5
Material: YHf2Ag
Method: DFT, PBEsol
State: relaxed

Cell: 6.9500 6.9500 6.9500 Å, 90.00 90.00 90.00°
Closest atoms and distances in Å follow each position.
Space group Fm-3m (No. 225)
One atom of each set of equivalent atoms:
Y 0.0000 0.0000 0.0000 [4 per cell]  8 Hf 3.01
Hf 0.2500 0.2500 0.2500 [8 per cell]  4 Ag 3.01, 4 Y 3.01
Ag 0.0000 0.0000 0.5000 [4 per cell]  8 Hf 3.01

- DFT formation energy (eV/atom) = 0.3152
- crystal system = cubic


# 6
Material: Hf3ZnAg
Method: DFT, PBEsol
State: relaxed

Cell: 4.8253 4.8253 4.8253 Å, 90.00 90.00 90.00°
Closest atoms and distances in Å follow each position.
Space group Pm-3m (No. 221)
One atom of each set of equivalent atoms:
Hf 0.0000 0.0000 0.5000 [3 per cell]  2 Zn 2.41
Zn 0.0000 0.0000 0.0000 [1 per cell]  6 Hf 2.41
Ag 0.5000 0.5000 0.5000 [1 per cell]  12 Hf 3.41

- DFT formation energy (eV/atom) = 0.8157
- crystal system = cubic


# 7
Material: AgHg
Method: DFT, PBEsol
State: relaxed

Cell: 5.3583 5.3583 5.3583 Å, 90.00 90.00 90.00°
Closest atoms and distances in Å follow each position.
Space group P2_13 (No. 198)
One atom of each set of equivalent atoms:
Ag 0.1488 0.3512 0.6488 [4 per cell]  7 Hg 2.82-2.91
Hg 0.1548 0.1548 0.1548 [4 per cell]  7 Ag 2.82-2.91

- DFT formation energy (eV/atom) = 0.0487
- energy above the lowest structure with this stoichiometry (eV per formula unit) = 0.065
- crystal system = cubic


# 8
Material: Ag3Hg
Method: DFT, PBEsol
State: relaxed

Cell: 9.5895 2.9658 5.0168 Å, 90.00 100.16 90.00°
Closest atoms and distances in Å follow each position.
Space group C2/m (No. 12)
One atom of each set of equivalent atoms:
Ag 0.0000 0.0000 0.0000 [2 per cell]  8 Ag 2.88-2.97, 4 Hg 2.91
Ag 0.2477 0.5000 0.2445 [4 per cell]  9 Ag 2.87-2.97, 3 Hg 2.89-2.93
Hg 0.0000 0.5000 0.5000 [2 per cell]  10 Ag 2.89-2.93, 2 Hg 2.97

- DFT formation energy (eV/atom) = 0.0039
- crystal system = monoclinic


# 9
Material: Ag3Hg
Method: DFT, PBEsol
State: relaxed

Cell: 4.7773 5.7894 5.0512 Å, 90.00 90.00 90.00°
Closest atoms and distances in Å follow each position.
Space group Pmmn (No. 59, origin choice 2)
One atom of each set of equivalent atoms:
Ag 0.2500 0.0004 0.1646 [4 per cell]  8 Ag 2.88-2.94, 4 Hg 2.91-2.92
Ag 0.2500 0.2500 0.6717 [2 per cell]  8 Ag 2.88-2.94, 4 Hg 2.89-2.94
Hg 0.2500 0.7500 0.6661 [2 per cell]  12 Ag 2.89-2.94

- DFT formation energy (eV/atom) = -0.0065
- crystal system = orthorhombic


# 10
Material: Ag3Hg
Method: DFT, PBEsol
State: relaxed

Cell: 6.5438 6.5438 6.5438 Å, 90.00 90.00 90.00°
Closest atoms and distances in Å follow each position.
Space group Fm-3m (No. 225)
One atom of each set of equivalent atoms:
Ag 0.0000 0.0000 0.0000 [4 per cell]  8 Ag 2.83
Ag 0.2500 0.2500 0.2500 [8 per cell]  4 Hg 2.83, 4 Ag 2.83
Hg 0.0000 0.0000 0.5000 [4 per cell]  8 Ag 2.83

- DFT formation energy (eV/atom) = 0.0222
- crystal system = cubic


# 11
Material: AgHg7
Method: DFT, PBEsol
State: relaxed

Cell: 8.8520 8.8520 8.8520 Å, 90.00 90.00 90.00°
Closest atoms and distances in Å follow each position.
Space group Fm-3m (No. 225)
One atom of each set of equivalent atoms:
Ag 0.0000 0.0000 0.0000 [4 per cell]  12 Hg 3.13
Hg 0.0000 0.0000 0.5000 [4 per cell]  12 Hg 3.13
Hg 0.0000 0.2500 0.2500 [24 per cell]  10 Hg 3.13, 2 Ag 3.13

- DFT formation energy (eV/atom) = 0.0593
- crystal system = cubic


# 12
Material: Ag3Hg
Method: DFT, PBEsol
State: relaxed

Cell: 2.9674 2.9674 9.3103 Å, 90.00 90.00 120.00°
Closest atoms and distances in Å follow each position.
Space group P-6m2 (No. 187)
One atom of each set of equivalent atoms:
Ag 0.0000 0.0000 0.0000 [1 per cell]  12 Ag 2.83-2.97
Ag 0.3333 0.6667 0.2417 [2 per cell]  9 Ag 2.83-2.97, 3 Hg 2.95
Hg 0.0000 0.0000 0.5000 [1 per cell]  6 Ag 2.95, 6 Hg 2.97

- DFT formation energy (eV/atom) = 0.0362
- crystal system = hexagonal


# 13
Material: AgHg
Method: DFT, PBEsol
State: relaxed

Cell: 4.1454 4.1454 8.7216 Å, 90.00 90.00 90.00°
Closest atoms and distances in Å follow each position.
Space group I4_1/amd (No. 141, origin choice 2)
One atom of each set of equivalent atoms:
Ag 0.0000 0.2500 0.3750 [4 per cell]  8 Hg 2.93-3.01, 4 Ag 3.01
Hg 0.0000 0.2500 0.8750 [4 per cell]  8 Ag 2.93-3.01, 4 Hg 3.01

- DFT formation energy (eV/atom) = 0.0224
- energy above the lowest structure with this stoichiometry (eV per formula unit) = 0.012
- crystal system = tetragonal


# 14
Material: Ag2Hg3
Method: DFT, PBEsol
State: relaxed

Cell: 3.0944 3.0944 35.5643 Å, 90.00 90.00 120.00°
Closest atoms and distances in Å follow each position.
Space group R-3m (No. 166, hexagonal axes)
One atom of each set of equivalent atoms:
Ag 0.0000 0.0000 0.1020 [6 per cell]  6 Hg 2.91-2.93, 6 Ag 3.09
Hg 0.0000 0.0000 0.2968 [6 per cell]  3 Ag 2.93, 9 Hg 3.09-3.15
Hg 0.0000 0.0000 0.5000 [3 per cell]  6 Ag 2.91, 6 Hg 3.09

- DFT formation energy (eV/atom) = 0.0428
- crystal system = trigonal


# 15
Material: Ag3Hg
Method: DFT, PBEsol
State: relaxed

Cell: 2.9604 2.9604 28.0701 Å, 90.00 90.00 120.00°
Closest atoms and distances in Å follow each position.
Space group R-3m (No. 166, hexagonal axes)
One atom of each set of equivalent atoms:
Ag 0.0000 0.0000 0.0000 [3 per cell]  12 Ag 2.83-2.96
Ag 0.0000 0.0000 0.2528 [6 per cell]  9 Ag 2.83-2.96, 3 Hg 2.96
Hg 0.0000 0.0000 0.5000 [3 per cell]  6 Hg 2.96, 6 Ag 2.96

- DFT formation energy (eV/atom) = 0.0325
- crystal system = trigonal


# 16
Material: AgHg
Method: DFT, PBEsol
State: relaxed

Cell: 10.7802 3.0260 7.1634 Å, 90.00 105.47 90.00°
Closest atoms and distances in Å follow each position.
Space group Cm (No. 8)
One atom of each set of equivalent atoms:
Ag 0.0000 0.0000 0.0000 [2 per cell]  7 Hg 2.88-3.00, 5 Ag 3.00-3.11
Ag 0.0671 0.0000 0.6038 [2 per cell]  7 Hg 2.90-2.97, 5 Ag 2.93-3.11
Ag 0.1720 0.5000 0.3309 [2 per cell]  6 Hg 2.86-3.00, 6 Ag 2.93-3.03
Hg 0.2142 0.5000 0.9416 [2 per cell]  6 Ag 2.88-3.00, 6 Hg 3.03-3.12
Hg 0.3439 0.0000 0.6627 [2 per cell]  7 Ag 2.90-3.00, 5 Hg 2.98-3.12
Hg 0.3998 0.0000 0.2771 [2 per cell]  7 Ag 2.86-3.00, 5 Hg 2.98-3.08

- DFT formation energy (eV/atom) = 0.0242
- energy above the lowest structure with this stoichiometry (eV per formula unit) = 0.016
- crystal system = monoclinic


# 17
Material: Ag2Hg5
Method: DFT, PBEsol
State: relaxed

Cell: 9.8420 9.8420 2.9999 Å, 90.00 90.00 90.00°
Closest atoms and distances in Å follow each position.
Space group P4/mbm (No. 127)
One atom of each set of equivalent atoms:
Ag 0.1822 0.3178 0.0000 [4 per cell]  10 Hg 2.95-3.04, 2 Ag 3.00
Hg 0.0000 0.5000 0.5000 [2 per cell]  4 Ag 2.95, 6 Hg 2.98-3.00
Hg 0.0610 0.7970 0.5000 [8 per cell]  4 Ag 2.95-3.04, 6 Hg 2.95-3.28

- DFT formation energy (eV/atom) = 0.0153
- crystal system = tetragonal


# 18
Material: AgHg
Method: DFT, PBEsol
State: relaxed

Cell: 3.0580 3.0580 9.4917 Å, 90.00 90.00 120.00°
Closest atoms and distances in Å follow each position.
Space group P-3m1 (No. 164)
One atom of each set of equivalent atoms:
Ag 0.3333 0.6667 0.3851 [2 per cell]  9 Ag 2.81-3.06, 3 Hg 2.93
Hg 0.3333 0.6667 0.8615 [2 per cell]  3 Ag 2.93, 9 Hg 3.06-3.17

- DFT formation energy (eV/atom) = 0.0388
- energy above the lowest structure with this stoichiometry (eV per formula unit) = 0.045
- crystal system = trigonal


# 19
Material: AgHg
Method: DFT, PBEsol
State: relaxed

Cell: 3.5052 3.5052 6.1855 Å, 90.00 90.00 90.00°
Closest atoms and distances in Å follow each position.
Space group P4/nmm (No. 129, origin choice 2)
One atom of each set of equivalent atoms:
Ag 0.2500 0.2500 0.1151 [2 per cell]  4 Ag 2.86, 5 Hg 2.90-2.93
Hg 0.2500 0.2500 0.6415 [2 per cell]  5 Ag 2.90-2.93, 4 Hg 3.03

- DFT formation energy (eV/atom) = 0.0420
- energy above the lowest structure with this stoichiometry (eV per formula unit) = 0.051
- crystal system = tetragonal


# 20
Material: Ag3Hg
Method: DFT, PBEsol
State: relaxed

Cell: 5.8107 5.8107 4.7803 Å, 90.00 90.00 120.00°
Closest atoms and distances in Å follow each position.
Space group P6_3/mmc (No. 194)
One atom of each set of equivalent atoms:
Ag 0.1646 0.3292 0.2500 [6 per cell]  8 Ag 2.87-2.94, 4 Hg 2.91-2.93
Hg 0.3333 0.6667 0.7500 [2 per cell]  12 Ag 2.91-2.93

- DFT formation energy (eV/atom) = -0.0069
- crystal system = hexagonal